1.
MgRuPbO6: optimized geometry, GGA-PBE.

Geometry as extended XYZ:
```
18
Lattice="4.786 0.000 0.000 0.000 4.786 0.000 0.000 0.000 9.731" Properties=species:S:1:pos:R:3 pbc="T T T"
Mg 0.000 0.000 0.000
Mg 2.393 2.393 4.866
Ru 0.000 0.000 3.254
Ru 2.393 2.393 8.120
Pb 0.000 0.000 6.482
Pb 2.393 2.393 1.616
O 0.855 0.855 1.703
O 0.940 0.940 4.645
O 1.056 1.056 8.190
O 1.337 3.450 3.325
O 1.453 3.333 9.511
O 1.538 3.248 6.569
O 3.248 1.538 6.569
O 3.333 1.453 9.511
O 3.450 1.337 3.325
O 3.730 3.730 8.190
O 3.847 3.847 4.645
O 3.932 3.932 1.703
```

Total magnetic moment   0.063 μB/atom
Calculated total energy   -0.2246 hartree per atom



2.
TlTcRh2: optimized geometry, GGA-PBE.

Geometry as extended XYZ:
```
8
Lattice="2.839 0.000 0.000 0.000 4.268 0.000 0.000 0.000 11.613" Properties=species:S:1:pos:R:3 pbc="T T T"
Tl 0.000 0.000 0.000
Tl 1.419 2.134 5.807
Tc 0.000 2.134 3.097
Tc 1.419 0.000 8.904
Rh 0.000 0.000 6.812
Rh 0.000 2.134 9.686
Rh 1.419 0.000 3.880
Rh 1.419 2.134 1.005
```

Energy of formation   0.34 eV/atom
Total magnetic moment   0.000 μB/atom
Calculated total energy   -0.2395 hartree per atom



3.
BaSr2CaMg: optimized geometry, GGA-PBE.

Geometry as extended XYZ:
```
5
Lattice="6.526 0.000 0.000 0.000 6.526 0.000 0.000 0.000 6.307" Properties=species:S:1:pos:R:3 pbc="T T T"
Ba 0.000 0.000 0.000
Sr 0.000 3.263 3.154
Sr 3.263 0.000 3.154
Ca 3.263 3.263 0.000
Mg 3.263 3.263 3.154
```

Energy of formation   0.17 eV/atom
Total magnetic moment   0.000 μB/atom
Calculated total energy   -0.0592 hartree per atom



4.
EuSeF: optimized geometry, GGA-PBE.

Geometry as extended XYZ:
```
3
Lattice="4.092 0.000 0.000 -2.046 3.544 0.000 0.000 0.000 4.360" Properties=species:S:1:pos:R:3 pbc="T T T"
Eu 0.000 0.000 0.000
Se 2.046 1.181 2.180
F 0.000 2.363 0.000
```

Total magnetic moment   2.020 μB/atom
Calculated total energy   -0.2814 hartree per atom



5.
CsKBr2O6: optimized geometry, GGA-PBE.

Geometry as extended XYZ:
```
20
Lattice="5.232 -6.010 0.000 5.232 6.010 0.000 -2.050 0.000 7.240" Properties=species:S:1:pos:R:3 pbc="T T T"
Cs 3.695 3.900 5.430
Cs 4.720 -3.900 1.810
K 4.720 0.966 1.810
K 3.695 -0.966 5.430
Br 0.507 1.463 5.948
Br 1.532 -1.463 2.328
Br 6.883 1.463 4.912
Br 7.908 -1.463 1.292
O 2.720 2.946 1.823
O 0.170 0.514 4.604
O 1.195 -0.514 0.984
O 2.128 1.166 6.332
O 6.719 2.946 1.797
O 3.153 -1.166 2.712
O 5.261 1.166 4.528
O 1.695 -2.946 5.443
O 6.286 -1.166 0.908
O 7.219 0.514 6.256
O 8.244 -0.514 2.636
O 5.694 -2.946 5.417
```

Total magnetic moment   0.000 μB/atom
Calculated total energy   -0.1516 hartree per atom



6.
LiBiIr: optimized geometry, GGA-PBE.

Geometry as extended XYZ:
```
6
Lattice="4.802 0.000 0.000 2.273 4.625 0.000 1.378 -0.447 4.998" Properties=species:S:1:pos:R:3 pbc="T T T"
Li 1.380 1.593 1.127
Li 7.073 2.585 3.872
Bi 3.689 3.293 1.369
Bi 4.764 0.885 3.630
Ir 4.668 4.192 3.917
Ir 3.786 -0.014 1.081
```

Energy of formation   -0.09 eV/atom
Total magnetic moment   0.000 μB/atom
Calculated total energy   -0.1827 hartree per atom



7.
Nd6TlPt: optimized geometry, GGA-PBE.

Geometry as extended XYZ:
```
16
Lattice="8.120 0.000 0.000 0.000 10.503 0.000 -2.146 0.000 6.466" Properties=species:S:1:pos:R:3 pbc="T T T"
Nd 0.210 2.093 1.885
Nd 0.210 8.409 1.885
Nd 1.451 5.251 1.117
Nd 0.463 0.000 5.350
Nd 1.704 3.158 4.582
Nd 1.704 7.345 4.582
Nd 4.270 3.158 1.885
Nd 4.270 7.345 1.885
Nd 5.511 0.000 1.117
Nd 4.523 5.251 5.350
Nd 5.764 2.093 4.582
Nd 5.764 8.409 4.582
Tl -1.073 5.251 3.233
Tl 2.987 0.000 3.233
Pt 0.000 0.000 0.000
Pt 4.060 5.251 0.000
```

Energy of formation   -0.18 eV/atom
Total magnetic moment   0.000 μB/atom
Calculated total energy   -0.1767 hartree per atom



8.
TlTePbSe: optimized geometry, GGA-PBE.

Geometry as extended XYZ:
```
4
Lattice="4.585 0.000 0.000 0.000 4.585 0.000 0.000 0.000 6.096" Properties=species:S:1:pos:R:3 pbc="T T T"
Tl 0.000 0.000 0.000
Te 0.000 0.000 3.048
Pb 2.293 2.293 3.044
Se 2.293 2.293 6.090
```

Total magnetic moment   0.000 μB/atom
Calculated total energy   -0.1283 hartree per atom



9.
Tb2Al4NiIr3: optimized geometry, GGA-PBE.

Geometry as extended XYZ:
```
10
Lattice="4.133 0.000 0.000 0.000 4.133 0.000 0.000 0.000 10.436" Properties=species:S:1:pos:R:3 pbc="T T T"
Tb 0.000 2.066 2.533
Tb 2.066 0.000 7.903
Al 0.000 0.000 5.218
Al 0.000 2.066 9.167
Al 2.066 0.000 1.269
Al 2.066 2.066 5.218
Ni 2.066 2.066 0.000
Ir 0.000 0.000 0.000
Ir 0.000 2.066 6.682
Ir 2.066 0.000 3.754
```

Energy of formation   -0.83 eV/atom
Total magnetic moment   0.000 μB/atom
Calculated total energy   -0.2383 hartree per atom



10.
Dy2ZnGa6Cu: optimized geometry, GGA-PBE.

Geometry as extended XYZ:
```
20
Lattice="3.137 1.811 11.490 -3.137 1.811 11.490 0.000 -3.623 11.490" Properties=species:S:1:pos:R:3 pbc="T T T"
Dy 0.000 0.000 3.655
Dy 0.000 0.000 9.785
Dy 0.000 0.000 24.686
Dy 0.000 0.000 30.816
Zn 0.000 0.000 14.746
Zn 0.000 0.000 19.725
Ga -1.881 -1.086 16.133
Ga 0.000 -1.562 12.704
Ga -1.352 0.781 12.704
Ga 0.000 -2.172 18.338
Ga -1.881 1.086 18.338
Ga -1.352 -0.781 21.767
Ga 1.352 0.781 12.704
Ga 1.881 -1.086 16.133
Ga 0.000 2.172 16.133
Ga 1.352 -0.781 21.767
Ga 0.000 1.562 21.767
Ga 1.881 1.086 18.338
Cu 0.000 0.000 0.000
Cu 0.000 0.000 17.236
```

Energy of formation   -0.24 eV/atom
Total magnetic moment   0.000 μB/atom
Calculated total energy   -0.1293 hartree per atom



11.
Rb2GaCuBr6: optimized geometry, GGA-PBE.

Geometry as extended XYZ:
```
10
Lattice="-3.718 3.718 5.440 3.718 -3.718 5.440 3.718 3.718 -5.440" Properties=species:S:1:pos:R:3 pbc="T T T"
Rb 3.718 0.000 2.720
Rb 0.000 3.718 2.720
Ga 0.000 0.000 0.000
Cu 0.000 0.000 5.440
Br 0.000 0.000 2.550
Br 1.894 1.894 0.000
Br 1.824 -1.824 5.440
Br -1.824 1.824 5.440
Br 1.824 1.824 5.440
Br 0.000 0.000 8.331
```

Total magnetic moment   0.000 μB/atom
Calculated total energy   -0.1076 hartree per atom



12.
MgBeCo: optimized geometry, GGA-PBE.

Geometry as extended XYZ:
```
3
Lattice="3.831 0.000 0.000 -1.915 3.318 0.000 0.000 0.000 2.945" Properties=species:S:1:pos:R:3 pbc="T T T"
Mg 0.000 0.000 0.000
Be 1.915 1.106 1.486
Co 0.000 2.212 1.467
```

Energy of formation   0.15 eV/atom
Total magnetic moment   0.000 μB/atom
Calculated total energy   -0.1467 hartree per atom



13.
Sr2CaZnPt: optimized geometry, GGA-PBE.

Geometry as extended XYZ:
```
5
Lattice="5.915 0.000 0.000 0.000 5.915 0.000 0.000 0.000 5.043" Properties=species:S:1:pos:R:3 pbc="T T T"
Sr 0.000 2.958 0.000
Sr 2.958 0.000 0.000
Ca 0.000 0.000 2.521
Zn 2.958 2.958 2.521
Pt 2.958 2.958 0.000
```

Energy of formation   -0.30 eV/atom
Total magnetic moment   0.000 μB/atom
Calculated total energy   -0.1042 hartree per atom



14.
Zn2SnC: optimized geometry, GGA-PBE.

Geometry as extended XYZ:
```
16
Lattice="6.436 0.000 0.000 0.000 6.436 0.000 0.000 0.000 6.436" Properties=species:S:1:pos:R:3 pbc="T T T"
Zn 1.609 1.609 1.609
Zn 1.609 1.609 4.827
Zn 1.609 4.827 1.609
Zn 1.609 4.827 4.827
Zn 4.827 1.609 1.609
Zn 4.827 1.609 4.827
Zn 4.827 4.827 1.609
Zn 4.827 4.827 4.827
Sn 0.000 0.000 0.000
Sn 0.000 3.218 3.218
Sn 3.218 0.000 3.218
Sn 3.218 3.218 0.000
C 0.000 0.000 3.218
C 0.000 3.218 0.000
C 3.218 0.000 0.000
C 3.218 3.218 3.218
```

Energy of formation   1.35 eV/atom
Total magnetic moment   0.000 μB/atom
Calculated total energy   -0.0952 hartree per atom



15.
CrTcB3: optimized geometry, GGA-PBE.

Geometry as extended XYZ:
```
5
Lattice="3.959 0.000 0.000 0.000 3.959 0.000 0.000 0.000 3.959" Properties=species:S:1:pos:R:3 pbc="T T T"
Cr 0.000 0.000 0.000
Tc 1.980 1.980 1.980
B 0.000 1.980 1.980
B 1.980 0.000 1.980
B 1.980 1.980 0.000
```

Energy of formation   1.40 eV/atom
Total magnetic moment   0.023 μB/atom
Calculated total energy   -0.2429 hartree per atom



16.
Zr2ScAlH: optimized geometry, GGA-PBE.

Geometry as extended XYZ:
```
5
Lattice="4.242 0.000 0.000 0.000 4.242 0.000 0.000 0.000 4.857" Properties=species:S:1:pos:R:3 pbc="T T T"
Zr 0.000 2.121 0.000
Zr 2.121 0.000 0.000
Sc 0.000 0.000 2.428
Al 2.121 2.121 2.428
H 2.121 2.121 0.000
```

Total magnetic moment   0.000 μB/atom
Calculated total energy   -0.2329 hartree per atom



17.
MgZnTc2: optimized geometry, GGA-PBE.

Geometry as extended XYZ:
```
8
Lattice="2.976 0.000 0.000 0.000 4.610 0.000 0.000 0.000 9.117" Properties=species:S:1:pos:R:3 pbc="T T T"
Mg 0.000 0.000 0.000
Mg 1.488 2.305 0.000
Zn 0.000 2.305 6.710
Zn 1.488 0.000 6.710
Tc 0.000 0.000 4.457
Tc 0.000 2.305 2.350
Tc 1.488 0.000 2.350
Tc 1.488 2.305 4.457
```

Energy of formation   0.16 eV/atom
Total magnetic moment   0.000 μB/atom
Calculated total energy   -0.2109 hartree per atom



18.
Pm4Er2Tm5: optimized geometry, GGA-PBE.

Geometry as extended XYZ:
```
11
Lattice="9.509 -2.806 0.000 9.509 2.806 0.000 -0.113 0.000 6.557" Properties=species:S:1:pos:R:3 pbc="T T T"
Pm 0.377 0.000 1.874
Pm 5.714 0.000 6.080
Pm 13.190 0.000 0.477
Pm 18.527 0.000 4.683
Er 7.582 0.000 2.916
Er 11.322 0.000 3.641
Tm 2.378 0.000 5.819
Tm 3.927 0.000 2.635
Tm 9.509 0.000 0.000
Tm 14.977 0.000 3.922
Tm 16.526 0.000 0.738
```

Energy of formation   0.11 eV/atom
Total magnetic moment   0.000 μB/atom
Calculated total energy   -0.1647 hartree per atom



19.
Ac2Al4AgPt3: optimized geometry, GGA-PBE.

Geometry as extended XYZ:
```
10
Lattice="4.440 0.000 0.000 0.000 4.440 0.000 0.000 0.000 10.659" Properties=species:S:1:pos:R:3 pbc="T T T"
Ac 0.000 2.220 2.604
Ac 2.220 0.000 8.055
Al 0.000 0.000 0.000
Al 0.000 2.220 6.699
Al 2.220 0.000 3.959
Al 2.220 2.220 0.000
Ag 0.000 0.000 5.329
Pt 0.000 2.220 9.289
Pt 2.220 0.000 1.370
Pt 2.220 2.220 5.329
```

Energy of formation   -0.91 eV/atom
Total magnetic moment   0.000 μB/atom
Calculated total energy   -0.1959 hartree per atom



20.
Sr4ReSb: optimized geometry, GGA-PBE.

Geometry as extended XYZ:
```
6
Lattice="0.000 4.702 4.702 4.702 0.000 4.702 4.702 4.702 0.000" Properties=species:S:1:pos:R:3 pbc="T T T"
Sr 1.170 1.170 1.170
Sr 3.532 3.532 1.170
Sr 3.532 1.170 3.532
Sr 1.170 3.532 3.532
Re 7.053 7.053 7.053
Sb 4.702 4.702 4.702
```

Total magnetic moment   0.335 μB/atom
Calculated total energy   -0.1046 hartree per atom



21.
Sm3Al8Pd3: optimized geometry, GGA-PBE.

Geometry as extended XYZ:
```
14
Lattice="7.942 -2.243 0.000 7.942 2.243 0.000 -5.159 0.000 7.525" Properties=species:S:1:pos:R:3 pbc="T T T"
Sm 0.000 0.000 0.000
Sm 3.008 0.000 2.253
Sm 7.718 0.000 5.272
Al -0.066 0.000 3.182
Al -2.083 0.000 6.490
Al 1.836 0.000 5.402
Al 6.169 0.000 2.452
Al 4.557 0.000 5.073
Al 8.890 0.000 2.123
Al 12.809 0.000 1.035
Al 10.792 0.000 4.343
Pd -2.579 0.000 3.762
Pd 0.387 0.000 7.506
Pd 10.339 0.000 0.019
```

Energy of formation   -0.69 eV/atom
Total magnetic moment   0.000 μB/atom
Calculated total energy   -0.1820 hartree per atom



22.
SmTmSb2: optimized geometry, GGA-PBE.

Geometry as extended XYZ:
```
12
Lattice="4.378 0.000 0.000 -2.189 3.791 0.000 0.000 0.000 22.362" Properties=species:S:1:pos:R:3 pbc="T T T"
Sm 0.000 0.000 0.000
Sm 0.000 2.528 14.908
Sm 2.189 1.264 7.454
Tm 0.000 0.000 18.543
Tm 0.000 2.528 11.089
Tm 2.189 1.264 3.635
Sb 0.000 0.000 9.297
Sb 0.000 0.000 12.963
Sb 0.000 2.528 1.843
Sb 0.000 2.528 5.509
Sb 2.189 1.264 16.751
Sb 2.189 1.264 20.417
```

Total magnetic moment   0.000 μB/atom
Calculated total energy   -0.1968 hartree per atom



23.
NbNi15Sn4: optimized geometry, GGA-PBE.

Geometry as extended XYZ:
```
20
Lattice="3.727 0.000 0.000 0.000 3.727 0.000 0.000 0.000 18.571" Properties=species:S:1:pos:R:3 pbc="T T T"
Nb 0.000 0.000 0.000
Ni 0.000 1.864 1.775
Ni 0.000 1.864 5.544
Ni 0.000 1.864 9.285
Ni 0.000 1.864 13.026
Ni 0.000 1.864 16.796
Ni 1.864 0.000 1.775
Ni 1.864 0.000 5.544
Ni 1.864 0.000 9.285
Ni 1.864 0.000 13.026
Ni 1.864 0.000 16.796
Ni 1.864 1.864 0.000
Ni 1.864 1.864 3.658
Ni 1.864 1.864 7.409
Ni 1.864 1.864 11.162
Ni 1.864 1.864 14.913
Sn 0.000 0.000 3.703
Sn 0.000 0.000 7.425
Sn 0.000 0.000 11.146
Sn 0.000 0.000 14.868
```

Energy of formation   -0.21 eV/atom
Total magnetic moment   0.000 μB/atom
Calculated total energy   -0.2150 hartree per atom



24.
SmScHg: optimized geometry, GGA-PBE.

Geometry as extended XYZ:
```
3
Lattice="4.959 0.000 0.000 -2.479 4.294 0.000 0.000 0.000 3.795" Properties=species:S:1:pos:R:3 pbc="T T T"
Sm 0.000 0.000 0.000
Sc 2.479 1.431 1.898
Hg 0.000 2.863 1.898
```

Energy of formation   -0.21 eV/atom
Total magnetic moment   0.072 μB/atom
Calculated total energy   -0.1469 hartree per atom